# 1
Th2PaSi3 | GGA-PBE | relaxed

a b c (Å): 5.952 8.423 7.281
angles (deg): 106.80 114.13 90.00
Fractional coordinates of all 12 atoms:
Si 0.500 0.250 0.000
Si 0.843 0.421 0.685
Si 0.157 0.579 0.315
Si 0.843 0.921 0.685
Si 0.157 0.079 0.315
Si 0.500 0.750 0.000
Th 0.668 0.584 0.336
Th 0.332 0.416 0.664
Th 0.668 0.084 0.336
Th 0.332 0.916 0.664
Pa 0.000 0.750 0.000
Pa 0.000 0.250 0.000

SG: Immm, No. 71
calculated total energy: -87.52 eV/cell
uncorrected formation energy: -526 meV/atom



# 2
GaCoIrRu2 | GGA-PBE | relaxed

a b c (Å): 4.460 4.203 4.460
angles (deg): 90.00 90.00 90.00
Fractional coordinates of all 5 atoms:
Ru 0.500 0.000 0.000
Ru 0.000 0.000 0.500
Ga 0.000 0.000 0.000
Co 0.000 0.500 0.000
Ir 0.500 0.500 0.500

formation energy: 1.4381 eV per atom
SG: P4/mmm, No. 123
calculated total energy: -30.35 eV/cell



Question: Number 2 is which compound?
Answer: GaCoIrRu2